A:
First-principles (PBE) data for a relaxed MgHg2Te2 crystal, as listed in Alexandria.

The total moment is 0.00 μB/cell. As for the crystal system: tetragonal. The density of states at the Fermi level comes out at 4.13 states/eV per cell.

The structure belongs to space group I4/mmm (No. 139); the cell edges are 4.112, 4.112 and 17.310 Å and the angles 90.00°, 90.00° and 90.00°. The inequivalent atoms are Mg at (0.000, 0.000, 0.000), Hg at (0.000, 0.500, 0.250) and Te at (0.000, 0.000, 0.415).

B:
First-principles (PBE) data for a relaxed MgHg2Te2 crystal, as listed in Alexandria.

The total moment is 0.00 μB/cell. As for the crystal system: tetragonal. The density of states at the Fermi level comes out at 0.42 states/eV per cell.

The structure belongs to space group P4/mbm (No. 127); the cell edges are 8.243, 8.243 and 4.672 Å and the angles 90.00°, 90.00° and 90.00°. The inequivalent atoms are Mg at (0.000, 0.000, 0.000), Hg at (0.117, 0.383, 0.500) and Te at (0.225, 0.725, 0.000).

According to the calculations, the structures order from most to least stable as B, A.

A:
First-principles (PBE) data for a relaxed Th2MgHg crystal, as listed in Alexandria.

The total moment is 0.00 μB/cell. As for the crystal system: trigonal. The density of states at the Fermi level comes out at 10.64 states/eV per cell.

The structure belongs to space group R-3m (No. 166, hexagonal axes); the cell edges are 3.3721, 3.3721 and 36.3718 Å and the angles 90.00°, 90.00° and 120.00°. The inequivalent atoms are Th at (0.0000, 0.0000, 0.0917), Mg at (0.0000, 0.0000, 0.0000) and Hg at (0.0000, 0.0000, 0.5000).

B:
First-principles (PBE) data for a relaxed Th2MgHg crystal, as listed in Alexandria.

The total moment is 0.00 μB/cell. As for the crystal system: tetragonal. The density of states at the Fermi level comes out at 2.72 states/eV per cell.

The structure belongs to space group P4/mmm (No. 123); the cell edges are 3.874, 3.874 and 7.548 Å and the angles 90.00°, 90.00° and 90.00°. The inequivalent atoms are Th at (0.000, 0.000, 0.248), Mg at (0.500, 0.500, 0.500) and Hg at (0.500, 0.500, 0.000).

According to the calculations, the structures order from most to least stable as B, A.